Arrangement a

A plane-wave DFT calculation with PBE was carried out for crystalline NiIrCl2 at its relaxed geometry.

```
4
Lattice="-5.932 -3.313 -1.791 -4.148 -5.562 -1.114 -1.275 0.165 3.907" Properties=species:S:1:pos:R:3 pbc="T T T"
Ni -2.393 -1.463 1.448
Cl -1.374 0.076 3.875
Ir -5.965 -4.610 0.413
Cl -8.574 -6.904 -0.328
```

* space-group type: Cm

Arrangement b

A plane-wave DFT calculation with PBE was carried out for crystalline NiIrCl2 at its relaxed geometry.

```
4
Lattice="-1.788 0.131 -4.139 1.993 -2.212 -3.388 -1.938 -3.684 -1.737" Properties=species:S:1:pos:R:3 pbc="T T T"
Cl 0.000 0.000 0.000
Ir -0.866 -2.883 -4.632
Ni -1.300 -4.325 -6.948
Cl -0.433 -1.442 -2.316
```

* space-group type: F-43m

It is arrangement b that is the least stable of them.

Arrangement a

A plane-wave DFT calculation with PBE was carried out for crystalline NiIrCl2 at its relaxed geometry.

```
4
Lattice="0.000 3.098 3.098 3.098 0.000 3.098 3.098 3.098 0.000" Properties=species:S:1:pos:R:3 pbc="T T T"
Ir 3.098 3.098 3.098
Ni 0.000 0.000 0.000
Cl 4.646 4.646 4.646
Cl 1.549 1.549 1.549
```

* space-group type: Fm-3m

Arrangement b

A plane-wave DFT calculation with PBE was carried out for crystalline NiIrCl2 at its relaxed geometry.

```
8
Lattice="-2.910 4.824 0.044 -1.120 -0.725 5.474 1.852 4.372 3.857" Properties=species:S:1:pos:R:3 pbc="T T T"
Cl -0.664 1.348 4.392
Ni -2.015 2.049 2.759
Ir 0.000 0.000 0.000
Cl -2.113 6.881 7.602
Ni -0.641 2.848 6.045
Ir -1.536 5.623 3.330
Cl -0.147 4.800 5.082
Cl -1.432 3.912 1.675
```

* space-group type: I-42d

It is arrangement a that is the least stable of them.

Arrangement a

A plane-wave DFT calculation with PBE was carried out for crystalline NiIrCl2 at its relaxed geometry.

```
4
Lattice="3.137 -0.011 0.000 -1.789 2.577 0.000 0.000 0.000 7.808" Properties=species:S:1:pos:R:3 pbc="T T T"
Ir 0.674 1.283 1.952
Ni 0.674 1.283 5.856
Cl 0.000 0.000 4.062
Cl 0.000 0.000 7.649
```

* space-group type: Cmmm

Arrangement b

A plane-wave DFT calculation with PBE was carried out for crystalline NiIrCl2 at its relaxed geometry.

```
4
Lattice="7.718 0.001 0.001 7.115 2.989 0.001 7.115 1.434 2.623" Properties=species:S:1:pos:R:3 pbc="T T T"
Cl 0.297 0.060 0.036
Cl 10.677 2.152 1.276
Ni 16.461 3.319 1.968
Ir 5.487 1.106 0.656
```

* space-group type: R-3m

Arrangement c

A plane-wave DFT calculation with PBE was carried out for crystalline NiIrCl2 at its relaxed geometry.

```
4
Lattice="-0.681 0.219 -3.852 -2.429 -1.941 0.319 -2.728 4.454 0.736" Properties=species:S:1:pos:R:3 pbc="T T T"
Ir -1.630 0.738 -1.662
Cl -2.524 1.319 0.522
Ni -4.209 1.994 -1.134
Cl -2.783 4.391 0.742
```

* space-group type: P2/m

It is arrangement b that is the least stable of them.

Arrangement a

A plane-wave DFT calculation with PBE was carried out for crystalline NiIrCl2 at its relaxed geometry.

```
4
Lattice="-1.591 -1.106 2.240 -1.653 -1.526 -1.927 5.220 -6.368 0.564" Properties=species:S:1:pos:R:3 pbc="T T T"
Ir 2.805 -3.422 0.303
Cl 4.725 -5.764 0.510
Cl 0.102 -3.419 0.343
Ni 2.173 -5.945 0.567
```

* space-group type: P4mm

Arrangement b

A plane-wave DFT calculation with PBE was carried out for crystalline NiIrCl2 at its relaxed geometry.

```
4
Lattice="3.521 0.000 0.000 0.000 4.648 0.000 0.000 2.187 4.100" Properties=species:S:1:pos:R:3 pbc="T T T"
Cl 0.000 6.521 3.912
Ni 1.760 5.022 3.012
Cl 1.760 2.030 1.218
Ir 0.000 3.516 2.109
```

* space-group type: Amm2

Arrangement c

A plane-wave DFT calculation with PBE was carried out for crystalline NiIrCl2 at its relaxed geometry.

```
4
Lattice="-0.746 -0.074 3.056 -2.053 -3.066 -0.575 5.653 -4.025 1.282" Properties=species:S:1:pos:R:3 pbc="T T T"
Cl 0.586 -2.984 1.691
Ir 3.300 -2.350 0.749
Cl 5.132 -3.654 1.164
Ni 2.314 -4.214 2.083
```

* space-group type: Pmm2

It is arrangement c that is the least stable of them.